Compound: TaTc2B
Source: Alexandria via LeMat-Bulk
Functional: PBE
Structure: optimized geometry

Cell lengths 7.0090, 7.0090, 5.4725 Å; angles 50.18, 50.18, 90.00 degrees
With the nearest neighbours (Å) after each atom.
Element x y z (fractional)
B 0.5000 0.5000 0.0000  4 Tc 2.13, 2 Ta 2.32
B 0.2500 0.7500 0.5000  4 Tc 2.13, 2 Ta 2.32
Ta 0.7500 0.2500 0.5000  2 B 2.32
Ta 0.0000 0.0000 0.0000  2 B 2.32
Tc 0.8750 0.7753 0.7500  2 B 2.13
Tc 0.2247 0.6250 0.2500  2 B 2.13
Tc 0.5253 0.1250 0.2500  2 B 2.13
Tc 0.3750 0.4747 0.7500  2 B 2.13

Values from the calculation:
Its density of states at the Fermi level is 4.3 states/eV per cell. The value obtained for the formation energy is 0.00 eV/atom. As for the space group: I-42d. The calculation puts the raw total energy at -9.82 eV/atom.